Computed, not measured: a geometry-optimized PrTiTe2 structure at the GGA-PBE level of DFT.

abc: 3.828 3.828 29.416
angles: 90.00 90.00 120.00
Fractional positions:
Pr 0.000 0.000 0.000
Pr 0.333 0.667 0.667
Pr 0.667 0.333 0.333
Ti 0.000 0.000 0.500
Ti 0.333 0.667 0.167
Ti 0.667 0.333 0.833
Te 0.000 0.000 0.109
Te 0.000 0.000 0.891
Te 0.333 0.667 0.558
Te 0.333 0.667 0.775
Te 0.667 0.333 0.225
Te 0.667 0.333 0.442

Calculated values
For the energy, the calculation gives -5.2745 eV per atom. The value obtained for the uncorrected formation energy is -0.54 eV per atom. For the calculated volume, the calculation gives 31.1 Å³ per atom. As for the space-group type: R-3m, No. 166.

=====

Computed, not measured: a geometry-optimized PrTiTe structure at the GGA-PBE level of DFT.

abc: 11.573 3.611 7.696
angles: 90.00 109.21 90.00
Fractional positions:
Pr 0.169 0.000 0.133
Pr 0.331 0.500 0.867
Pr 0.669 0.500 0.133
Pr 0.831 0.000 0.867
Ti 0.144 0.000 0.532
Ti 0.356 0.500 0.468
Ti 0.644 0.500 0.532
Ti 0.856 0.000 0.468
Te 0.036 0.500 0.740
Te 0.464 0.000 0.260
Te 0.536 0.000 0.740
Te 0.964 0.500 0.260

Calculated values
For the energy, the calculation gives -5.7193 eV per atom. The value obtained for the uncorrected formation energy is -0.45 eV per atom. For the calculated volume, the calculation gives 25.3 Å³ per atom. As for the space-group type: C2/m, No. 12.

=====

Computed, not measured: a geometry-optimized Pr2TiTe5 structure at the GGA-PBE level of DFT.

abc: 9.239 9.768 6.774
angles: 90.00 119.36 90.00
Fractional positions:
Pr 0.000 0.243 0.000
Pr 0.000 0.757 0.000
Pr 0.500 0.257 0.000
Pr 0.500 0.743 0.000
Ti 0.126 0.500 0.584
Ti 0.626 0.000 0.584
Te 0.144 0.225 0.540
Te 0.144 0.775 0.540
Te 0.230 0.500 0.039
Te 0.323 0.000 0.161
Te 0.431 0.500 0.661
Te 0.644 0.275 0.540
Te 0.644 0.725 0.540
Te 0.730 0.000 0.039
Te 0.823 0.500 0.161
Te 0.931 0.000 0.661

Calculated values
For the energy, the calculation gives -5.1101 eV per atom. The value obtained for the uncorrected formation energy is -0.96 eV per atom. For the calculated volume, the calculation gives 33.3 Å³ per atom. As for the space-group type: Cm, No. 8.

=====

Computed, not measured: a geometry-optimized Pr2TiTl3Te6 structure at the GGA-PBE level of DFT.

abc: 7.688 7.688 8.557
angles: 98.71 98.71 119.95
Fractional positions:
Pr 0.165 0.835 0.000
Pr 0.835 0.165 0.000
Ti 0.500 0.500 0.000
Tl 0.000 0.000 0.500
Tl 0.324 0.676 0.500
Tl 0.676 0.324 0.500
Te 0.126 0.431 0.790
Te 0.268 0.268 0.220
Te 0.431 0.126 0.790
Te 0.569 0.874 0.210
Te 0.732 0.732 0.780
Te 0.874 0.569 0.210

Calculated values
For the energy, the calculation gives -4.4690 eV per atom. The value obtained for the uncorrected formation energy is -0.85 eV per atom. For the calculated volume, the calculation gives 34.8 Å³ per atom. As for the space-group type: C2/m, No. 12.

=====

Computed, not measured: a geometry-optimized Pr3TiTl3Te8 structure at the GGA-PBE level of DFT.

abc: 9.728 9.728 9.728
angles: 54.59 54.59 54.59
Fractional positions:
Pr 0.000 0.500 0.500
Pr 0.500 0.000 0.500
Pr 0.500 0.500 0.000
Ti 0.000 0.000 0.000
Tl 0.000 0.000 0.500
Tl 0.000 0.500 0.000
Tl 0.500 0.000 0.000
Te 0.218 0.218 0.770
Te 0.218 0.770 0.218
Te 0.230 0.782 0.782
Te 0.258 0.258 0.258
Te 0.742 0.742 0.742
Te 0.770 0.218 0.218
Te 0.782 0.230 0.782
Te 0.782 0.782 0.230

Calculated values
For the energy, the calculation gives -4.5773 eV per atom. The value obtained for the uncorrected formation energy is -0.95 eV per atom. For the calculated volume, the calculation gives 37.9 Å³ per atom. As for the space-group type: R-3m, No. 166.

=====

Computed, not measured: a geometry-optimized Pr6Tl2Te structure at the GGA-PBE level of DFT.

abc: 8.881 8.881 4.290
angles: 90.00 90.00 120.00
Fractional positions:
Pr 0.000 0.397 0.000
Pr 0.000 0.726 0.500
Pr 0.274 0.274 0.500
Pr 0.397 0.000 0.000
Pr 0.603 0.603 0.000
Pr 0.726 0.000 0.500
Tl 0.333 0.667 0.500
Tl 0.667 0.333 0.500
Te 0.000 0.000 0.000

Calculated values
For the energy, the calculation gives -4.5481 eV per atom. The value obtained for the uncorrected formation energy is -0.49 eV per atom. For the calculated volume, the calculation gives 32.6 Å³ per atom. As for the space-group type: P-62m, No. 189.

=====

Number 1: M_tot 0.701 μB/f.u.. Number 2: M_tot 0.000 μB/f.u.. Number 3: M_tot 0.000 μB/f.u.. Number 4: M_tot 1.009 μB/f.u.. Number 5: M_tot 0.045 μB/f.u.. Number 6: M_tot 0.001 μB/f.u..